Entry 1:
Here is a geometry-optimized LaTl2W structure from Alexandria via LeMat-Bulk. Energies are from PBE.

Its energy relative to the lowest polymorph listed for this composition is 28 kJ/mol of formula units. Its final energy is -5.077 eV/atom. Its density of states at the Fermi level is 1.426 states/eV/f.u. As for the formation energy: 576 meV/atom.

a b c (Å): 5.205 5.205 5.205
angles (deg): 60.00 60.00 60.00
Fractional positions:
Tl (0.250, 0.250, 0.250)
Tl (0.750, 0.750, 0.750)
W (0.500, 0.500, 0.500)
La (0.000, 0.000, 0.000)

Entry 2:
Here is a geometry-optimized LaTl2W structure from Alexandria via LeMat-Bulk. Energies are from PBE.

Its energy relative to the lowest polymorph listed for this composition is 5 kJ/mol of formula units. Its final energy is -5.138 eV/atom. Its density of states at the Fermi level is 2.566 states/eV/f.u. As for the formation energy: 515 meV/atom.

a b c (Å): 5.510 5.510 5.931
angles (deg): 78.82 78.82 34.18
Fractional positions:
W (0.750, 0.750, 0.750)
La (0.250, 0.250, 0.250)
Tl (0.485, 0.485, 0.534)
Tl (0.015, 0.015, 0.966)

Entry 3:
Here is a geometry-optimized LaTlW3 structure from Alexandria via LeMat-Bulk. Energies are from PBE.

Its energy relative to the lowest polymorph listed for this composition is 192 kJ/mol of formula units. Its final energy is -6.314 eV/atom. Its density of states at the Fermi level is 7.547 states/eV/f.u. As for the formation energy: 2917 meV/atom.

a b c (Å): 4.936 4.936 4.936
angles (deg): 90.00 90.00 90.00
Fractional positions:
W (0.000, 0.000, 0.500)
W (0.000, 0.500, 0.000)
W (0.500, 0.000, 0.000)
Tl (0.500, 0.500, 0.500)
La (0.000, 0.000, 0.000)

Entry 4:
Here is a geometry-optimized LaTlW structure from Alexandria via LeMat-Bulk. Energies are from PBE.

Its energy relative to the lowest polymorph listed for this composition is 6 kJ/mol of formula units. Its final energy is -6.084 eV/atom. Its density of states at the Fermi level is 2.231 states/eV/f.u. As for the formation energy: 665 meV/atom.

a b c (Å): 8.072 7.890 3.128
angles (deg): 81.98 75.45 22.56
Fractional positions:
Tl (0.318, 0.318, 0.682)
W (0.669, 0.669, 0.331)
La (0.012, 0.012, 0.988)

Entry 5:
Here is a geometry-optimized LaTlW structure from Alexandria via LeMat-Bulk. Energies are from PBE.

Its energy relative to the lowest polymorph listed for this composition is 27 kJ/mol of formula units. Its final energy is -6.013 eV/atom. Its density of states at the Fermi level is 4.965 states/eV/f.u. As for the formation energy: 736 meV/atom.

a b c (Å): 5.242 5.242 3.049
angles (deg): 90.00 90.00 120.00
Fractional positions:
Tl (0.667, 0.333, 0.500)
La (0.000, 0.000, 0.000)
W (0.333, 0.667, 0.500)

Entry 6:
Here is a geometry-optimized LaTlW structure from Alexandria via LeMat-Bulk. Energies are from PBE.

Its energy relative to the lowest polymorph listed for this composition is 0 kJ/mol of formula units. Its final energy is -6.106 eV/atom. Its density of states at the Fermi level is 2.758 states/eV/f.u. As for the formation energy: 643 meV/atom.

a b c (Å): 7.845 7.845 7.845
angles (deg): 157.49 157.49 32.04
Fractional positions:
Tl (0.319, 0.319, 0.000)
La (0.009, 0.009, 0.000)
W (0.672, 0.672, 0.000)

Entry 7:
Here is a geometry-optimized LaTl2W structure from Alexandria via LeMat-Bulk. Energies are from PBE.

Its energy relative to the lowest polymorph listed for this composition is 33 kJ/mol of formula units. Its final energy is -5.065 eV/atom. Its density of states at the Fermi level is 4.021 states/eV/f.u. As for the formation energy: 588 meV/atom.

a b c (Å): 10.773 10.773 10.773
angles (deg): 17.25 17.25 17.25
Fractional positions:
Tl (0.992, 0.992, 0.992)
La (0.750, 0.750, 0.750)
W (0.250, 0.250, 0.250)
Tl (0.508, 0.508, 0.508)

Entry 8:
Here is a geometry-optimized La4TlW structure from Alexandria via LeMat-Bulk. Energies are from PBE.

Its final energy is -4.999 eV/atom. Its density of states at the Fermi level is 8.525 states/eV/f.u. As for the formation energy: 840 meV/atom.

a b c (Å): 6.304 6.304 6.304
angles (deg): 60.00 60.00 60.00
Fractional positions:
La (0.373, 0.880, 0.373)
La (0.373, 0.373, 0.373)
La (0.373, 0.373, 0.880)
W (0.000, 0.000, 0.000)
La (0.880, 0.373, 0.373)
Tl (0.750, 0.750, 0.750)

Entry 9:
Here is a geometry-optimized LaTl2W structure from Alexandria via LeMat-Bulk. Energies are from PBE.

Its energy relative to the lowest polymorph listed for this composition is 18 kJ/mol of formula units. Its final energy is -5.103 eV/atom. Its density of states at the Fermi level is 3.174 states/eV/f.u. As for the formation energy: 550 meV/atom.

a b c (Å): 3.371 3.371 8.450
angles (deg): 90.00 90.00 90.00
Fractional positions:
Tl (0.000, 0.000, 0.464)
La (0.500, 0.500, 0.750)
W (0.500, 0.500, 0.250)
Tl (0.000, 0.000, 0.036)

Entry 10:
Here is a geometry-optimized LaTl2W structure from Alexandria via LeMat-Bulk. Energies are from PBE.

Its energy relative to the lowest polymorph listed for this composition is 6 kJ/mol of formula units. Its final energy is -5.136 eV/atom. Its density of states at the Fermi level is 3.311 states/eV/f.u. As for the formation energy: 517 meV/atom.

a b c (Å): 4.820 3.126 6.719
angles (deg): 74.27 90.00 90.00
Fractional positions:
W (0.500, 0.250, 0.250)
Tl (0.000, 0.430, 0.470)
La (0.500, 0.750, 0.750)
Tl (0.000, 0.070, 0.030)

Entry 11:
Here is a geometry-optimized LaYTl3 structure from Alexandria via LeMat-Bulk. Energies are from PBE.

Its energy relative to the lowest polymorph listed for this composition is 439 kJ/mol of formula units. Its final energy is -3.093 eV/atom. Its density of states at the Fermi level is 7.540 states/eV/f.u. As for the formation energy: 605 meV/atom.

a b c (Å): 5.900 5.900 5.900
angles (deg): 90.00 90.00 90.00
Fractional positions:
Tl (0.000, 0.000, 0.500)
Y (0.500, 0.500, 0.500)
Tl (0.000, 0.500, 0.000)
La (0.000, 0.000, 0.000)
Tl (0.500, 0.000, 0.000)

Entry 12:
Here is a geometry-optimized La2YTl2 structure from Alexandria via LeMat-Bulk. Energies are from PBE.

Its energy relative to the lowest polymorph listed for this composition is 99 kJ/mol of formula units. Its final energy is -4.353 eV/atom. Its density of states at the Fermi level is 7.353 states/eV/f.u. As for the formation energy: -143 meV/atom.

a b c (Å): 9.404 9.404 3.614
angles (deg): 90.00 90.00 90.00
Fractional positions:
Y (0.500, 0.500, 0.000)
Y (0.000, 0.000, 0.000)
La (0.617, 0.117, 0.000)
Tl (0.179, 0.679, 0.500)
Tl (0.321, 0.179, 0.500)
La (0.383, 0.883, 0.000)
Tl (0.679, 0.821, 0.500)
La (0.883, 0.617, 0.000)
La (0.117, 0.383, 0.000)
Tl (0.821, 0.321, 0.500)

Entry 13:
Here is a geometry-optimized La2YTl2 structure from Alexandria via LeMat-Bulk. Energies are from PBE.

Its energy relative to the lowest polymorph listed for this composition is 12 kJ/mol of formula units. Its final energy is -4.534 eV/atom. Its density of states at the Fermi level is 4.417 states/eV/f.u. As for the formation energy: -324 meV/atom.

a b c (Å): 5.049 6.228 6.228
angles (deg): 71.14 66.09 66.09
Fractional positions:
Tl (0.500, 0.725, 0.275)
La (0.183, 0.317, 0.317)
La (0.817, 0.683, 0.683)
Tl (0.500, 0.275, 0.725)
Y (0.000, 0.000, 0.000)

Entry 14:
Here is a geometry-optimized La2Y6Tl structure from Alexandria via LeMat-Bulk. Energies are from PBE.

Its final energy is -5.666 eV/atom. Its density of states at the Fermi level is 11.422 states/eV/f.u. As for the formation energy: 1 meV/atom.

a b c (Å): 3.565 10.281 9.736
angles (deg): 121.87 100.53 90.00
Fractional positions:
Y (0.823, 0.986, 0.648)
Tl (0.000, 0.000, 0.000)
Y (0.177, 0.338, 0.352)
Y (0.500, 0.707, 0.000)
La (0.149, 0.651, 0.302)
Y (0.500, 0.293, 0.000)
La (0.851, 0.349, 0.698)
Y (0.823, 0.662, 0.648)
Y (0.177, 0.014, 0.352)

Entry 15:
Here is a geometry-optimized La6YTl structure from Alexandria via LeMat-Bulk. Energies are from PBE.

Its energy relative to the lowest polymorph listed for this composition is 0 kJ/mol of formula units. Its final energy is -4.899 eV/atom. Its density of states at the Fermi level is 10.938 states/eV/f.u. As for the formation energy: -100 meV/atom.

a b c (Å): 5.126 5.126 10.447
angles (deg): 90.00 90.00 90.00
Fractional positions:
La (0.500, 0.500, 0.500)
La (0.500, 0.000, 0.755)
La (0.500, 0.500, 0.000)
Tl (0.000, 0.000, 0.000)
La (0.500, 0.000, 0.245)
Y (0.000, 0.000, 0.500)
La (0.000, 0.500, 0.245)
La (0.000, 0.500, 0.755)

Entry 16:
Here is a geometry-optimized LaY5Tl6 structure from Alexandria via LeMat-Bulk. Energies are from PBE.

Its final energy is -4.667 eV/atom. Its density of states at the Fermi level is 9.843 states/eV/f.u. As for the formation energy: -380 meV/atom.

a b c (Å): 5.419 9.402 9.402
angles (deg): 120.14 106.81 106.81
Fractional positions:
Y (0.500, 0.838, 0.162)
Tl (0.237, 0.737, 0.737)
Tl (0.763, 0.263, 0.263)
Y (0.500, 0.500, 0.500)
Tl (0.744, 0.573, 0.915)
La (0.000, 0.000, 0.000)
Y (0.500, 0.162, 0.838)
Tl (0.744, 0.915, 0.573)
Tl (0.256, 0.085, 0.427)
Y (0.000, 0.668, 0.332)
Y (0.000, 0.332, 0.668)
Tl (0.256, 0.427, 0.085)

Entry 17:
Here is a geometry-optimized La8YTl2 structure from Alexandria via LeMat-Bulk. Energies are from PBE.

Its energy relative to the lowest polymorph listed for this composition is 36 kJ/mol of formula units. Its final energy is -4.666 eV/atom. Its density of states at the Fermi level is 16.159 states/eV/f.u. As for the formation energy: -65 meV/atom.

a b c (Å): 6.062 9.003 9.003
angles (deg): 119.09 102.29 102.29
Fractional positions:
La (0.699, 0.401, 0.401)
La (0.500, 0.225, 0.775)
La (0.096, 0.088, 0.305)
La (0.500, 0.775, 0.225)
Tl (0.000, 0.695, 0.305)
Tl (0.000, 0.305, 0.695)
La (0.904, 0.695, 0.912)
La (0.301, 0.599, 0.599)
Y (0.500, 0.000, 0.000)
La (0.904, 0.912, 0.695)
La (0.096, 0.305, 0.088)

Entry 18:
Here is a geometry-optimized LaY12Tl3 structure from Alexandria via LeMat-Bulk. Energies are from PBE.

Its final energy is -5.723 eV/atom. Its density of states at the Fermi level is 22.041 states/eV/f.u. As for the formation energy: -123 meV/atom.

a b c (Å): 4.890 4.890 20.139
angles (deg): 90.00 90.00 90.00
Fractional positions:
Y (0.500, 0.500, 0.500)
Y (0.500, 0.500, 0.742)
Y (0.500, 0.000, 0.379)
Tl (0.000, 0.000, 0.742)
Tl (0.000, 0.000, 0.500)
Y (0.500, 0.500, 0.000)
Y (0.500, 0.000, 0.866)
Y (0.000, 0.500, 0.621)
Y (0.500, 0.000, 0.621)
La (0.000, 0.000, 0.000)
Y (0.000, 0.500, 0.134)
Tl (0.000, 0.000, 0.258)
Y (0.000, 0.500, 0.866)
Y (0.500, 0.000, 0.134)
Y (0.000, 0.500, 0.379)
Y (0.500, 0.500, 0.258)

Entry 19:
Here is a geometry-optimized La5YTl4 structure from Alexandria via LeMat-Bulk. Energies are from PBE.

Its energy relative to the lowest polymorph listed for this composition is 0 kJ/mol of formula units. Its final energy is -4.369 eV/atom. Its density of states at the Fermi level is 13.975 states/eV/f.u. As for the formation energy: -312 meV/atom.

a b c (Å): 3.742 3.742 23.053
angles (deg): 90.00 90.00 90.00
Fractional positions:
Tl (0.000, 0.000, 0.597)
La (0.500, 0.500, 0.500)
La (0.500, 0.500, 0.306)
La (0.500, 0.500, 0.694)
Tl (0.000, 0.000, 0.208)
La (0.500, 0.500, 0.113)
Tl (0.000, 0.000, 0.792)
Y (0.000, 0.000, 0.000)
La (0.500, 0.500, 0.887)
Tl (0.000, 0.000, 0.403)

Entry 20:
Here is a geometry-optimized La2YTl4 structure from Alexandria via LeMat-Bulk. Energies are from PBE.

Its energy relative to the lowest polymorph listed for this composition is 223 kJ/mol of formula units. Its final energy is -3.624 eV/atom. Its density of states at the Fermi level is 12.430 states/eV/f.u. As for the formation energy: 60 meV/atom.

a b c (Å): 5.778 5.778 9.110
angles (deg): 108.49 108.49 90.00
Fractional positions:
Tl (0.000, 0.500, 0.000)
La (0.609, 0.609, 0.218)
Tl (0.500, 0.000, 0.000)
La (0.391, 0.391, 0.782)
Tl (0.811, 0.811, 0.622)
Y (0.000, 0.000, 0.000)
Tl (0.189, 0.189, 0.378)

Entry 21:
Here is a geometry-optimized La6YTl5 structure from Alexandria via LeMat-Bulk. Energies are from PBE.

Its final energy is -4.320 eV/atom. Its density of states at the Fermi level is 13.845 states/eV/f.u. As for the formation energy: -332 meV/atom.

a b c (Å): 5.181 9.322 9.504
angles (deg): 119.37 105.82 90.00
Fractional positions:
La (0.174, 0.433, 0.347)
La (0.500, 0.735, 0.000)
Y (0.000, 0.000, 0.000)
Tl (0.351, 0.851, 0.701)
La (0.826, 0.567, 0.653)
La (0.174, 0.914, 0.347)
La (0.500, 0.265, 0.000)
Tl (0.329, 0.329, 0.659)
La (0.826, 0.086, 0.653)
Tl (0.649, 0.149, 0.299)
Tl (0.671, 0.671, 0.341)
Tl (0.000, 0.500, 0.000)

Entry 22:
Here is a geometry-optimized La2YTl4 structure from Alexandria via LeMat-Bulk. Energies are from PBE.

Its energy relative to the lowest polymorph listed for this composition is 0 kJ/mol of formula units. Its final energy is -3.954 eV/atom. Its density of states at the Fermi level is 6.011 states/eV/f.u. As for the formation energy: -271 meV/atom.

a b c (Å): 5.371 5.371 8.624
angles (deg): 108.14 108.14 90.00
Fractional positions:
Tl (0.391, 0.891, 0.782)
Tl (0.891, 0.391, 0.782)
Tl (0.109, 0.609, 0.218)
La (0.748, 0.748, 0.495)
Tl (0.609, 0.109, 0.218)
Y (0.000, 0.000, 0.000)
La (0.252, 0.252, 0.505)

Entry 23:
Here is a geometry-optimized La6Y3Tl structure from Alexandria via LeMat-Bulk. Energies are from PBE.

Its final energy is -5.054 eV/atom. Its density of states at the Fermi level is 18.673 states/eV/f.u. As for the formation energy: 79 meV/atom.

a b c (Å): 8.942 8.942 8.942
angles (deg): 88.14 88.14 88.14
Fractional positions:
Y (0.747, 0.880, 0.243)
Y (0.253, 0.120, 0.757)
La (0.498, 0.601, 0.148)
La (0.385, 0.059, 0.151)
Y (0.120, 0.757, 0.253)
La (0.849, 0.615, 0.941)
Y (0.243, 0.747, 0.880)
Tl (0.500, 0.500, 0.500)
Tl (0.000, 0.000, 0.000)
La (0.151, 0.385, 0.059)
La (0.399, 0.852, 0.502)
La (0.059, 0.151, 0.385)
La (0.502, 0.399, 0.852)
La (0.615, 0.941, 0.849)
La (0.601, 0.148, 0.498)
La (0.941, 0.849, 0.615)
La (0.852, 0.502, 0.399)
La (0.148, 0.498, 0.601)
Y (0.880, 0.243, 0.747)
Y (0.757, 0.253, 0.120)

Entry 24:
Here is a geometry-optimized La3Y2Tl2 structure from Alexandria via LeMat-Bulk. Energies are from PBE.

Its final energy is -4.761 eV/atom. Its density of states at the Fermi level is 8.538 states/eV/f.u. As for the formation energy: -126 meV/atom.

a b c (Å): 5.091 3.624 12.439
angles (deg): 90.00 78.19 90.00
Fractional positions:
La (0.000, 0.000, 0.000)
La (0.143, 0.000, 0.714)
La (0.857, 0.000, 0.286)
Tl (0.574, 0.500, 0.853)
Tl (0.426, 0.500, 0.147)
Y (0.713, 0.500, 0.574)
Y (0.287, 0.500, 0.426)

Entry 25:
Here is a geometry-optimized La15YTl4 structure from Alexandria via LeMat-Bulk. Energies are from PBE.

Its final energy is -4.675 eV/atom. Its density of states at the Fermi level is 30.473 states/eV/f.u. As for the formation energy: -183 meV/atom.

a b c (Å): 5.078 5.078 25.816
angles (deg): 90.00 90.00 90.00
Fractional positions:
La (0.500, 0.500, 0.402)
La (0.000, 0.500, 0.303)
La (0.500, 0.500, 0.598)
La (0.000, 0.500, 0.697)
La (0.000, 0.500, 0.104)
La (0.500, 0.000, 0.104)
Tl (0.000, 0.000, 0.205)
Y (0.000, 0.000, 0.000)
La (0.500, 0.500, 0.796)
La (0.500, 0.500, 0.204)
Tl (0.000, 0.000, 0.401)
Tl (0.000, 0.000, 0.795)
La (0.500, 0.500, 0.000)
La (0.000, 0.500, 0.500)
La (0.500, 0.000, 0.303)
La (0.500, 0.000, 0.896)
La (0.000, 0.500, 0.896)
Tl (0.000, 0.000, 0.599)
La (0.500, 0.000, 0.697)
La (0.500, 0.000, 0.500)